Run 1
VASP calculation (PBE) on BaSc2Pt after structural relaxation.

Cell lengths 3.436, 4.440, 15.692 Å; angles 90.00, 90.00, 90.00 degrees
Space group Imm2 (No. 44)
Inequivalent atoms, fractional coordinates:
Ba (0.000, 0.000, 0.000) [2 per cell]
Sc (0.000, 0.000, 0.325) [2 per cell]
Sc (0.000, 0.500, 0.186) [2 per cell]
Pt (0.000, 0.500, 0.694) [2 per cell]

***

Run 2
VASP calculation (PBE) on BaSc2Pt after structural relaxation.

Cell lengths 3.8787, 3.8787, 27.9470 Å; angles 90.00, 90.00, 120.00 degrees
Space group R3m (No. 160, hexagonal axes)
Inequivalent atoms, fractional coordinates:
Ba (0.0000, 0.0000, 0.0000) [3 per cell]
Sc (0.0000, 0.0000, 0.5382) [3 per cell]
Sc (0.0000, 0.0000, 0.7828) [3 per cell]
Pt (0.0000, 0.0000, 0.2534) [3 per cell]

***

It is run 1 that is the most stable of them.

***

Run 1
VASP calculation (PBE) on BaSc2Pt after structural relaxation.

Cell lengths 4.448, 4.448, 5.158 Å; angles 90.00, 90.00, 90.00 degrees
Space group P4/mmm (No. 123)
Inequivalent atoms, fractional coordinates:
Ba (0.000, 0.000, 0.000) [1 per cell]
Sc (0.000, 0.500, 0.500) [2 per cell]
Pt (0.500, 0.500, 0.000) [1 per cell]

***

Run 2
VASP calculation (PBE) on BaSc2Pt after structural relaxation.

Cell lengths 3.720, 3.734, 8.213 Å; angles 90.00, 90.21, 90.00 degrees
Space group Pm (No. 6)
Inequivalent atoms, fractional coordinates:
Ba (0.000, 0.000, 0.000) [1 per cell]
Sc (0.003, 0.000, 0.591) [1 per cell]
Sc (0.502, 0.500, 0.355) [1 per cell]
Pt (0.504, 0.500, 0.683) [1 per cell]

***

It is run 2 that is the most stable of them.

***

Run 1
VASP calculation (PBE) on BaSc2Pt after structural relaxation.

Cell lengths 7.363, 7.363, 7.363 Å; angles 90.00, 90.00, 90.00 degrees
Space group F-43m (No. 216)
Inequivalent atoms, fractional coordinates:
Ba (0.000, 0.000, 0.000) [4 per cell]
Sc (0.000, 0.000, 0.500) [4 per cell]
Sc (0.250, 0.250, 0.750) [4 per cell]
Pt (0.250, 0.250, 0.250) [4 per cell]

***

Run 2
VASP calculation (PBE) on BaSc2Pt after structural relaxation.

Cell lengths 7.165, 7.165, 7.165 Å; angles 90.00, 90.00, 90.00 degrees
Space group Fm-3m (No. 225)
Inequivalent atoms, fractional coordinates:
Ba (0.000, 0.000, 0.000) [4 per cell]
Sc (0.250, 0.250, 0.250) [8 per cell]
Pt (0.000, 0.000, 0.500) [4 per cell]

***

Run 3
VASP calculation (PBE) on BaSc2Pt after structural relaxation.

Cell lengths 4.382, 4.382, 10.155 Å; angles 90.00, 90.00, 90.00 degrees
Space group I-4m2 (No. 119)
Inequivalent atoms, fractional coordinates:
Ba (0.000, 0.000, 0.000) [2 per cell]
Sc (0.000, 0.000, 0.500) [2 per cell]
Sc (0.000, 0.500, 0.250) [2 per cell]
Pt (0.000, 0.500, 0.750) [2 per cell]

***

It is run 2 that is the most stable of them.

***

Run 1
VASP calculation (PBE) on BaScPt2 after structural relaxation.

Cell lengths 6.974, 6.974, 6.974 Å; angles 90.00, 90.00, 90.00 degrees
Space group F-43m (No. 216)
Inequivalent atoms, fractional coordinates:
Ba (0.000, 0.000, 0.000) [4 per cell]
Sc (0.250, 0.250, 0.750) [4 per cell]
Pt (0.000, 0.000, 0.500) [4 per cell]
Pt (0.250, 0.250, 0.250) [4 per cell]

***

Run 2
VASP calculation (PBE) on BaScPt2 after structural relaxation.

Cell lengths 7.860, 4.542, 6.419 Å; angles 90.00, 114.16, 90.00 degrees
Space group C2/m (No. 12)
Inequivalent atoms, fractional coordinates:
Ba (0.000, 0.000, 0.000) [2 per cell]
Sc (0.000, 0.500, 0.500) [2 per cell]
Pt (0.207, 0.000, 0.622) [4 per cell]

***

It is run 2 that is the most stable of them.

***

Run 1
VASP calculation (PBE) on BaSc2Pt2 after structural relaxation.

Cell lengths 8.207, 8.207, 3.458 Å; angles 90.00, 90.00, 90.00 degrees
Space group P4/mbm (No. 127)
Inequivalent atoms, fractional coordinates:
Ba (0.000, 0.000, 0.000) [2 per cell]
Sc (0.135, 0.365, 0.500) [4 per cell]
Pt (0.137, 0.637, 0.000) [4 per cell]

***

Run 2
VASP calculation (PBE) on BaSc2Pt2 after structural relaxation.

Cell lengths 4.984, 4.984, 10.859 Å; angles 90.00, 90.00, 90.00 degrees
Space group I4/mmm (No. 139)
Inequivalent atoms, fractional coordinates:
Ba (0.000, 0.000, 0.000) [2 per cell]
Sc (0.000, 0.000, 0.339) [4 per cell]
Pt (0.000, 0.500, 0.250) [4 per cell]

***

It is run 1 that is the most stable of them.

***

Run 1
VASP calculation (PBE) on BaSc2Pt2 after structural relaxation.

Cell lengths 4.556, 4.556, 11.956 Å; angles 90.00, 90.00, 90.00 degrees
Space group I4/mmm (No. 139)
Inequivalent atoms, fractional coordinates:
Ba (0.000, 0.000, 0.000) [2 per cell]
Sc (0.000, 0.500, 0.250) [4 per cell]
Pt (0.000, 0.000, 0.377) [4 per cell]

***

Run 2
VASP calculation (PBE) on BaSc2Pt2 after structural relaxation.

Cell lengths 8.402, 8.402, 3.091 Å; angles 90.00, 90.00, 90.00 degrees
Space group P4/mbm (No. 127)
Inequivalent atoms, fractional coordinates:
Ba (0.000, 0.000, 0.000) [2 per cell]
Sc (0.133, 0.367, 0.000) [4 per cell]
Pt (0.154, 0.654, 0.500) [4 per cell]

***

It is run 1 that is the most stable of them.

***

Run 1
VASP calculation (PBE) on BaSc3Pt after structural relaxation.

Cell lengths 5.123, 5.123, 5.123 Å; angles 90.00, 90.00, 90.00 degrees
Space group Pm-3m (No. 221)
Inequivalent atoms, fractional coordinates:
Ba (0.000, 0.000, 0.000) [1 per cell]
Sc (0.000, 0.000, 0.500) [3 per cell]
Pt (0.500, 0.500, 0.500) [1 per cell]

***

Run 2
VASP calculation (PBE) on BaSc3Pt after structural relaxation.

Cell lengths 5.277, 5.277, 5.277 Å; angles 90.00, 90.00, 90.00 degrees
Space group Pm-3m (No. 221)
Inequivalent atoms, fractional coordinates:
Ba (0.000, 0.000, 0.000) [1 per cell]
Sc (0.000, 0.500, 0.500) [3 per cell]
Pt (0.500, 0.500, 0.500) [1 per cell]

***

It is run 2 that is the most stable of them.

***

Run 1
VASP calculation (PBE) on Ba2Sn3Pt after structural relaxation.

Cell lengths 4.771, 5.095, 8.328 Å; angles 90.00, 90.00, 90.00 degrees
Space group Pmm2 (No. 25)
Inequivalent atoms, fractional coordinates:
Ba (0.000, 0.000, 0.000) [1 per cell]
Ba (0.500, 0.000, 0.473) [1 per cell]
Sn (0.000, 0.500, 0.304) [1 per cell]
Sn (0.000, 0.500, 0.652) [1 per cell]
Sn (0.500, 0.500, 0.850) [1 per cell]
Pt (0.500, 0.500, 0.169) [1 per cell]

***

Run 2
VASP calculation (PBE) on Ba2Sn3Pt after structural relaxation.

Cell lengths 13.081, 4.854, 8.225 Å; angles 90.00, 128.97, 90.00 degrees
Space group Cm (No. 8)
Inequivalent atoms, fractional coordinates:
Ba (0.000, 0.000, 0.000) [2 per cell]
Ba (0.011, 0.500, 0.510) [2 per cell]
Sn (0.255, 0.000, 0.922) [2 per cell]
Sn (0.256, 0.000, 0.571) [2 per cell]
Sn (0.256, 0.500, 0.126) [2 per cell]
Pt (0.255, 0.500, 0.448) [2 per cell]

***

It is run 1 that is the most stable of them.